1.
Here is a geometry-optimized Sr2Zn3O5 structure from OQMD via LeMat-Bulk. Energies are from GGA-PBE.

Output
The space group is Cmmm, No. 65. The value obtained for the energy above the lowest structure with this stoichiometry is 0.93 eV per formula unit.

```
Sr2Zn3O5
1.0
2.0319 -9.9572 0.0000
2.0319 9.9572 0.0000
0.0000 0.0000 3.3824
Sr Zn O
2 3 5
Direct
0.1012 0.8988 0.0000
0.8988 0.1012 0.0000
0.2996 0.7004 0.5000
0.5000 0.5000 0.5000
0.7004 0.2996 0.5000
0.0000 0.0000 0.5000
0.2010 0.7990 0.5000
0.3995 0.6005 0.5000
0.6005 0.3995 0.5000
0.7990 0.2010 0.5000
```

***

2.
Here is a geometry-optimized SrZrO3 structure from OQMD via LeMat-Bulk. Energies are from GGA-PBE.

Output
The value obtained for the total energy is -8.217 eV/atom. The space group is R-3, No. 148.

```
SrZrO3
1.0
2.8555 1.6486 5.3238
-2.8555 1.6486 5.3238
0.0000 -3.2972 5.3238
Sr Zr O
2 2 6
Direct
0.1341 0.1341 0.1341
0.8659 0.8659 0.8659
0.3481 0.3481 0.3481
0.6519 0.6519 0.6519
0.0578 0.6882 0.4791
0.3118 0.5209 0.9422
0.4791 0.0578 0.6882
0.5209 0.9422 0.3118
0.6882 0.4791 0.0578
0.9422 0.3118 0.5209
```

***

3.
Here is a geometry-optimized Sr2Zr2O5 structure from OQMD via LeMat-Bulk. Energies are from GGA-PBE.

Output
The value obtained for the total energy is -7.074 eV/atom. The space group is P4/mmm, No. 123.

```
Sr2Zr2O5
1.0
3.6260 0.0000 0.0000
0.0000 3.6260 0.0000
0.0000 0.0000 10.9819
Sr Zr O
2 2 5
Direct
0.0000 0.0000 0.2430
0.0000 0.0000 0.7570
0.5000 0.5000 0.0000
0.5000 0.5000 0.5000
0.0000 0.0000 0.5000
0.0000 0.5000 0.1157
0.0000 0.5000 0.8843
0.5000 0.0000 0.1157
0.5000 0.0000 0.8843
```

***

4.
Here is a geometry-optimized SrZrO3 structure from OQMD via LeMat-Bulk. Energies are from GGA-PBE.

Output
The value obtained for the total energy is -8.262 eV/atom. The space group is Pnma, No. 62.

```
SrZrO3
1.0
5.8630 0.0000 0.0000
0.0000 8.2344 0.0000
0.0000 0.0000 5.7975
Sr Zr O
4 4 12
Direct
0.0334 0.2500 0.0071
0.4666 0.7500 0.5071
0.5334 0.2500 0.4929
0.9666 0.7500 0.9929
0.0000 0.0000 0.5000
0.0000 0.5000 0.5000
0.5000 0.0000 0.0000
0.5000 0.5000 0.0000
0.0212 0.7500 0.4219
0.2112 0.5410 0.7892
0.2112 0.9590 0.7892
0.2888 0.0410 0.2892
0.2888 0.4590 0.2892
0.4788 0.2500 0.9219
0.5212 0.7500 0.0781
0.7112 0.5410 0.7108
0.7112 0.9590 0.7108
0.7888 0.0410 0.2108
0.7888 0.4590 0.2108
0.9788 0.2500 0.5781
```

***

5.
Here is a geometry-optimized SrZrO3 structure from OQMD via LeMat-Bulk. Energies are from GGA-PBE.

Output
The value obtained for the total energy is -7.989 eV/atom. The space group is Pnma, No. 62.

```
SrZrO3
1.0
5.9658 0.0000 0.0000
0.0000 9.1228 0.0000
0.0000 0.0000 5.8695
Sr Zr O
4 4 12
Direct
0.0000 0.0000 0.0000
0.0000 0.5000 0.0000
0.5000 0.0000 0.5000
0.5000 0.5000 0.5000
0.0055 0.2500 0.4784
0.4945 0.7500 0.9784
0.5055 0.2500 0.0216
0.9945 0.7500 0.5216
0.1454 0.0907 0.6435
0.1454 0.4093 0.6435
0.1755 0.2500 0.1740
0.3245 0.7500 0.6740
0.3545 0.5907 0.1435
0.3545 0.9093 0.1435
0.6454 0.0907 0.8565
0.6454 0.4093 0.8565
0.6755 0.2500 0.3260
0.8245 0.7500 0.8260
0.8546 0.5907 0.3565
0.8546 0.9093 0.3565
```

***

6.
Here is a geometry-optimized SrZrO3 structure from OQMD via LeMat-Bulk. Energies are from GGA-PBE.

Output
The value obtained for the total energy is -8.205 eV/atom. The space group is Pm-3m, No. 221.

```
SrZrO3
1.0
4.1599 0.0000 0.0000
0.0000 4.1599 0.0000
0.0000 0.0000 4.1599
Sr Zr O
1 1 3
Direct
0.0000 0.0000 0.0000
0.5000 0.5000 0.5000
0.0000 0.5000 0.5000
0.5000 0.0000 0.5000
0.5000 0.5000 0.0000
```

***

7.
Here is a geometry-optimized SrZrO3 structure from OQMD via LeMat-Bulk. Energies are from GGA-PBE.

Output
The value obtained for the total energy is -8.252 eV/atom. The space group is Imma, No. 74.

```
SrZrO3
1.0
-2.9118 4.0841 2.9249
2.9118 -4.0841 2.9249
2.9118 4.0841 -2.9249
Sr Zr O
2 2 6
Direct
0.2613 0.0113 0.2500
0.7387 0.9887 0.7500
0.0000 0.5000 0.5000
0.5000 0.5000 0.0000
0.1615 0.4115 0.7500
0.2987 0.0000 0.7987
0.2987 0.5000 0.2987
0.7013 0.0000 0.2013
0.7013 0.5000 0.7013
0.8385 0.5885 0.2500
```

***

8.
Here is a geometry-optimized SrZrO3 structure from OQMD via LeMat-Bulk. Energies are from GGA-PBE.

Output
The value obtained for the total energy is -7.511 eV/atom. The space group is P4mm, No. 99.

```
SrZrO3
1.0
3.5724 0.0000 0.0000
0.0000 3.5724 0.0000
0.0000 0.0000 6.0666
Sr Zr O
1 1 3
Direct
0.0000 0.0000 0.0000
0.5000 0.5000 0.4205
0.0000 0.0000 0.6125
0.0000 0.5000 0.2462
0.5000 0.0000 0.2462
```

***

9.
Here is a geometry-optimized SrZrO3 structure from OQMD via LeMat-Bulk. Energies are from GGA-PBE.

Output
The value obtained for the total energy is -8.209 eV/atom. The space group is P4mm, No. 99.

```
SrZrO3
1.0
4.1332 0.0000 0.0000
0.0000 4.1332 0.0000
0.0000 0.0000 4.2130
Sr Zr O
1 1 3
Direct
0.0000 0.0000 0.0000
0.5000 0.5000 0.5449
0.0000 0.5000 0.5968
0.5000 0.0000 0.5968
0.5000 0.5000 0.0655
```

***

10.
Here is a geometry-optimized SrZr2O4 structure from OQMD via LeMat-Bulk. Energies are from GGA-PBE.

Output
The value obtained for the total energy is -8.346 eV/atom. The space group is Fd-3m, No. 227.

```
SrZr2O4
1.0
0.0000 4.7379 4.7379
4.7379 0.0000 4.7379
4.7379 4.7379 0.0000
Sr Zr O
2 4 8
Direct
0.1250 0.1250 0.1250
0.8750 0.8750 0.8750
0.0000 0.5000 0.5000
0.5000 0.0000 0.5000
0.5000 0.5000 0.0000
0.5000 0.5000 0.5000
0.2681 0.2681 0.2681
0.2681 0.2681 0.6958
0.2681 0.6958 0.2681
0.3042 0.7319 0.7319
0.6958 0.2681 0.2681
0.7319 0.3042 0.7319
0.7319 0.7319 0.3042
0.7319 0.7319 0.7319
```

***

11.
Here is a geometry-optimized SrZrO3 structure from OQMD via LeMat-Bulk. Energies are from GGA-PBE.

Output
The value obtained for the total energy is -8.203 eV/atom. The space group is P2_13, No. 198.

```
SrZrO3
1.0
8.3046 0.0000 0.0000
0.0000 8.3046 0.0000
0.0000 0.0000 8.3046
Sr Zr O
8 8 24
Direct
0.2329 0.2329 0.2329
0.2467 0.7533 0.2533
0.2533 0.2467 0.7533
0.2671 0.7671 0.7329
0.7329 0.2671 0.7671
0.7467 0.7467 0.7467
0.7533 0.2533 0.2467
0.7671 0.7329 0.2671
0.0040 0.9960 0.4960
0.0064 0.4936 0.5064
0.4936 0.5064 0.0064
0.4960 0.0040 0.9960
0.5040 0.5040 0.5040
0.5064 0.0064 0.4936
0.9936 0.9936 0.9936
0.9960 0.4960 0.0040
0.0088 0.9753 0.7434
0.0131 0.7432 0.4875
0.0125 0.9869 0.2432
0.0247 0.2434 0.4912
0.2432 0.0125 0.9869
0.2434 0.4912 0.0247
0.2566 0.5088 0.5247
0.2568 0.9875 0.4869
0.4753 0.7566 0.9912
0.4875 0.0131 0.7432
0.4869 0.2568 0.9875
0.4912 0.0247 0.2434
0.5088 0.5247 0.2566
0.5125 0.5131 0.7568
0.5131 0.7568 0.5125
0.5247 0.2566 0.5088
0.7434 0.0088 0.9753
0.7432 0.4875 0.0131
0.7568 0.5125 0.5131
0.7566 0.9912 0.4753
0.9753 0.7434 0.0088
0.9869 0.2432 0.0125
0.9875 0.4869 0.2568
0.9912 0.4753 0.7566
```

***

12.
Here is a geometry-optimized Ta3O2 structure from OQMD via LeMat-Bulk. Energies are from GGA-PBE.

Output
The value obtained for the total energy is -10.616 eV/atom. The space group is Aem2, No. 39.

```
Ta3O2
1.0
6.8807 0.0000 0.0000
0.0000 7.7902 2.6755
0.0000 -7.7902 2.6755
Ta O
12 8
Direct
0.0094 0.2500 0.7500
0.1143 0.1491 0.3349
0.1143 0.8349 0.6491
0.2938 0.4115 0.1072
0.2938 0.6072 0.9115
0.3530 0.9747 0.4747
0.6470 0.4747 0.9747
0.7062 0.1072 0.4115
0.7062 0.9115 0.6072
0.8857 0.3349 0.1491
0.8857 0.6491 0.8349
0.9906 0.7500 0.2500
0.1671 0.1495 0.0738
0.1671 0.5738 0.6495
0.4079 0.0210 0.2547
0.4079 0.7547 0.5210
0.5921 0.2547 0.0210
0.5921 0.5210 0.7547
0.8329 0.0738 0.1495
0.8329 0.6495 0.5738
```

***

13.
Here is a geometry-optimized TaO structure from OQMD via LeMat-Bulk. Energies are from GGA-PBE.

Output
The value obtained for the total energy is -9.776 eV/atom. The space group is P6_3/mmc, No. 194.

```
TaO
1.0
2.8170 0.0000 0.0000
-1.4085 2.4396 0.0000
0.0000 0.0000 6.4345
Ta O
2 2
Direct
0.0000 0.0000 0.0000
0.0000 0.0000 0.5000
0.3333 0.6667 0.2500
0.6667 0.3333 0.7500
```

***

14.
Here is a geometry-optimized TaO structure from OQMD via LeMat-Bulk. Energies are from GGA-PBE.

Output
The value obtained for the total energy is -9.611 eV/atom. The space group is P-6m2, No. 187.

```
TaO
1.0
2.8265 0.0000 0.0000
-1.4132 2.4478 0.0000
0.0000 0.0000 3.2871
Ta O
1 1
Direct
0.0000 0.0000 0.0000
0.3333 0.6667 0.5000
```

***

15.
Here is a geometry-optimized TaO structure from OQMD via LeMat-Bulk. Energies are from GGA-PBE.

Output
The value obtained for the total energy is -9.512 eV/atom. The space group is F-43m, No. 216.

```
TaO
1.0
0.0000 2.3906 2.3906
2.3906 0.0000 2.3906
2.3906 2.3906 0.0000
Ta O
1 1
Direct
0.0000 0.0000 0.0000
0.2500 0.2500 0.2500
```

***

16.
Here is a geometry-optimized TaO structure from OQMD via LeMat-Bulk. Energies are from GGA-PBE.

Output
The value obtained for the total energy is -9.379 eV/atom. The space group is P6_3/mmc, No. 194.

```
TaO
1.0
3.4072 0.0000 0.0000
-1.7036 2.9507 0.0000
0.0000 0.0000 9.0508
Ta O
4 4
Direct
0.0000 0.0000 0.0000
0.0000 0.0000 0.5000
0.3333 0.6667 0.2500
0.6667 0.3333 0.7500
0.3333 0.6667 0.6070
0.3333 0.6667 0.8930
0.6667 0.3333 0.1070
0.6667 0.3333 0.3930
```

***

17.
Here is a geometry-optimized TaO4 structure from OQMD via LeMat-Bulk. Energies are from GGA-PBE.

Output
The space group is P2/c, No. 13. The value obtained for the energy above the lowest structure with this stoichiometry is 0.00 eV per formula unit.

```
TaO4
1.0
5.0481 0.0000 0.0000
0.0000 5.3030 0.0000
-1.7836 0.0000 4.9343
Ta O
2 8
Direct
0.0000 0.1469 0.2500
0.0000 0.8531 0.7500
0.1349 0.4888 0.0892
0.1349 0.5112 0.5892
0.2447 0.0514 0.0258
0.2447 0.9486 0.5258
0.7553 0.0514 0.4742
0.7553 0.9486 0.9742
0.8651 0.4888 0.4108
0.8651 0.5112 0.9108
```

***

18.
Here is a geometry-optimized TaO structure from OQMD via LeMat-Bulk. Energies are from GGA-PBE.

Output
The value obtained for the total energy is -9.676 eV/atom. The space group is P4/mmm, No. 123.

```
TaO
1.0
2.8924 0.0000 0.0000
0.0000 2.8924 0.0000
0.0000 0.0000 3.8531
Ta O
1 1
Direct
0.0000 0.0000 0.0000
0.0000 0.0000 0.5000
```

***

19.
Here is a geometry-optimized Ta2O5 structure from OQMD via LeMat-Bulk. Energies are from GGA-PBE.

Output
The value obtained for the total energy is -9.715 eV/atom. The space group is Pm, No. 6.

```
Ta2O5
1.0
6.1910 0.0000 0.0000
0.0000 3.8540 0.0000
-0.0011 0.0000 7.3034
Ta O
4 10
Direct
0.0000 0.0000 0.0000
0.0006 0.0000 0.5001
0.4639 0.0000 0.2501
0.5361 0.0000 0.7502
0.0054 0.5000 0.9985
0.0063 0.5000 0.5027
0.1241 0.0000 0.2500
0.3166 0.0000 0.9388
0.3179 0.0000 0.5601
0.4337 0.5000 0.2499
0.5696 0.5000 0.7499
0.6892 0.0000 0.0640
0.6905 0.0000 0.4347
0.8766 0.0000 0.7500
```

***

20.
Here is a geometry-optimized Ta4O5 structure from OQMD via LeMat-Bulk. Energies are from GGA-PBE.

Output
The value obtained for the total energy is -9.325 eV/atom. The space group is P4/mmm, No. 123.

```
Ta4O5
1.0
3.4130 0.0000 0.0000
0.0000 3.4130 0.0000
0.0000 0.0000 8.9889
Ta O
4 5
Direct
0.0000 0.0000 0.0000
0.0000 0.0000 0.5000
0.5000 0.5000 0.2097
0.5000 0.5000 0.7903
0.0000 0.5000 0.3293
0.0000 0.5000 0.6707
0.5000 0.0000 0.3293
0.5000 0.0000 0.6707
0.5000 0.5000 0.5000
```